Entry 1:
First-principles (PBE) data for an optimized crystal structure of NaTeAsI2, as listed in Alexandria.

Cell lengths 5.603, 5.603, 5.782 Å; angles 90.00, 90.00, 90.00 degrees
Sites, in units of the cell vectors:
Na (0.000, 0.000, 0.000)
Te (0.000, 0.000, 0.500)
As (0.500, 0.500, 0.500)
I (0.000, 0.500, 0.000)
I (0.500, 0.000, 0.000)

Calculated values
For the polymorph energy (0 for the lowest one), the calculation gives 73.8 kJ/mol of atoms. Its symmetry is No. 123. For the total energy, the calculation gives -1.8759 eV per atom. As for the uncorrected formation energy: 0.566 eV per atom. As for the spin magnetization: 0.4 Bohr magnetons per cell. Its volume is 182 Å³/cell.


Entry 2:
First-principles (PBE) data for an optimized crystal structure of Na2TlAsI6, as listed in Alexandria.

Cell lengths 8.662, 8.662, 8.662 Å; angles 55.18, 55.18, 55.18 degrees
Sites, in units of the cell vectors:
Na (0.000, 0.000, 0.000)
Na (0.482, 0.482, 0.482)
Tl (0.183, 0.183, 0.183)
As (0.672, 0.672, 0.672)
I (0.043, 0.440, 0.760)
I (0.298, 0.872, 0.610)
I (0.440, 0.760, 0.043)
I (0.610, 0.298, 0.872)
I (0.760, 0.043, 0.440)
I (0.872, 0.610, 0.298)

Calculated values
Its symmetry is No. 146. For the total energy, the calculation gives -2.5688 eV per atom. As for the uncorrected formation energy: -0.673 eV per atom. As for the spin magnetization: 0.0 Bohr magnetons per cell. Its volume is 408 Å³/cell.


Entry 3:
First-principles (PBE) data for an optimized crystal structure of NaTl2AsI6, as listed in Alexandria.

Cell lengths 8.381, 8.381, 8.381 Å; angles 60.29, 60.29, 60.29 degrees
Sites, in units of the cell vectors:
Na (0.000, 0.000, 0.000)
Tl (0.210, 0.210, 0.210)
Tl (0.721, 0.721, 0.721)
As (0.507, 0.507, 0.507)
I (0.183, 0.359, 0.740)
I (0.290, 0.838, 0.645)
I (0.359, 0.740, 0.183)
I (0.645, 0.290, 0.838)
I (0.740, 0.183, 0.359)
I (0.838, 0.645, 0.290)

Calculated values
Its symmetry is No. 146. For the total energy, the calculation gives -2.5479 eV per atom. As for the uncorrected formation energy: -0.548 eV per atom. As for the spin magnetization: 0.0 Bohr magnetons per cell. Its volume is 419 Å³/cell.


Entry 4:
First-principles (PBE) data for an optimized crystal structure of NaZrAs2I, as listed in Alexandria.

Cell lengths 4.916, 4.916, 5.484 Å; angles 90.00, 90.00, 90.00 degrees
Sites, in units of the cell vectors:
Na (0.000, 0.000, 0.000)
Zr (0.500, 0.500, 0.500)
As (0.000, 0.500, 0.000)
As (0.500, 0.000, 0.000)
I (0.000, 0.000, 0.500)

Calculated values
Its symmetry is No. 123. For the total energy, the calculation gives -3.3364 eV per atom. As for the uncorrected formation energy: 0.807 eV per atom. As for the spin magnetization: 0.0 Bohr magnetons per cell. Its volume is 133 Å³/cell.


Entry 5:
First-principles (PBE) data for an optimized crystal structure of Nb2AsI, as listed in Alexandria.

Cell lengths 4.722, 4.722, 4.722 Å; angles 60.00, 60.00, 60.00 degrees
Sites, in units of the cell vectors:
Nb (0.250, 0.250, 0.250)
Nb (0.750, 0.750, 0.750)
As (0.000, 0.000, 0.000)
I (0.500, 0.500, 0.500)

Calculated values
Its symmetry is No. 225. For the total energy, the calculation gives -6.4170 eV per atom. As for the uncorrected formation energy: 0.168 eV per atom. As for the spin magnetization: 0.0 Bohr magnetons per cell. Its volume is 74 Å³/cell.


Entry 6:
First-principles (PBE) data for an optimized crystal structure of NbAsI3, as listed in Alexandria.

Cell lengths 5.662, 5.662, 5.662 Å; angles 90.00, 90.00, 90.00 degrees
Sites, in units of the cell vectors:
Nb (0.000, 0.000, 0.000)
As (0.500, 0.500, 0.500)
I (0.000, 0.500, 0.500)
I (0.500, 0.000, 0.500)
I (0.500, 0.500, 0.000)

Calculated values
For the polymorph energy (0 for the lowest one), the calculation gives 44.0 kJ/mol of atoms. Its symmetry is No. 221. For the total energy, the calculation gives -2.9563 eV per atom. As for the uncorrected formation energy: 0.918 eV per atom. As for the spin magnetization: 3.8 Bohr magnetons per cell. Its volume is 182 Å³/cell.


Entry 7:
First-principles (PBE) data for an optimized crystal structure of Nb3AsI, as listed in Alexandria.

Cell lengths 4.864, 4.864, 4.864 Å; angles 90.00, 90.00, 90.00 degrees
Sites, in units of the cell vectors:
Nb (0.000, 0.000, 0.500)
Nb (0.000, 0.500, 0.000)
Nb (0.500, 0.000, 0.000)
As (0.000, 0.000, 0.000)
I (0.500, 0.500, 0.500)

Calculated values
For the polymorph energy (0 for the lowest one), the calculation gives 0.0 kJ/mol of atoms. Its symmetry is No. 221. For the total energy, the calculation gives -6.4077 eV per atom. As for the uncorrected formation energy: 0.874 eV per atom. As for the spin magnetization: 0.0 Bohr magnetons per cell. Its volume is 115 Å³/cell.


Entry 8:
First-principles (PBE) data for an optimized crystal structure of NbAs2I, as listed in Alexandria.

Cell lengths 7.670, 7.670, 7.670 Å; angles 129.08, 129.08, 74.88 degrees
Sites, in units of the cell vectors:
Nb (0.000, 0.000, 0.000)
Nb (0.750, 0.250, 0.500)
As (0.032, 0.625, 0.907)
As (0.375, 0.282, 0.407)
As (0.718, 0.125, 0.093)
As (0.875, 0.968, 0.593)
I (0.250, 0.750, 0.500)
I (0.500, 0.500, 0.000)

Calculated values
For the polymorph energy (0 for the lowest one), the calculation gives 0.0 kJ/mol of atoms. Its symmetry is No. 122. For the total energy, the calculation gives -4.8582 eV per atom. As for the uncorrected formation energy: 0.372 eV per atom. As for the spin magnetization: 0.0 Bohr magnetons per cell. Its volume is 265 Å³/cell.


Entry 9:
First-principles (PBE) data for an optimized crystal structure of Nb3AsI, as listed in Alexandria.

Cell lengths 5.014, 5.014, 5.014 Å; angles 90.00, 90.00, 90.00 degrees
Sites, in units of the cell vectors:
Nb (0.000, 0.000, 0.500)
Nb (0.000, 0.500, 0.000)
Nb (0.500, 0.000, 0.000)
As (0.500, 0.500, 0.500)
I (0.000, 0.000, 0.000)

Calculated values
For the polymorph energy (0 for the lowest one), the calculation gives 80.6 kJ/mol of atoms. Its symmetry is No. 221. For the total energy, the calculation gives -5.5721 eV per atom. As for the uncorrected formation energy: 1.710 eV per atom. As for the spin magnetization: 0.0 Bohr magnetons per cell. Its volume is 126 Å³/cell.


Entry 10:
First-principles (PBE) data for an optimized crystal structure of NbAs2I, as listed in Alexandria.

Cell lengths 4.871, 4.871, 4.871 Å; angles 60.00, 60.00, 60.00 degrees
Sites, in units of the cell vectors:
Nb (0.000, 0.000, 0.000)
As (0.250, 0.250, 0.250)
As (0.750, 0.750, 0.750)
I (0.500, 0.500, 0.500)

Calculated values
For the polymorph energy (0 for the lowest one), the calculation gives 29.8 kJ/mol of atoms. Its symmetry is No. 225. For the total energy, the calculation gives -4.5491 eV per atom. As for the uncorrected formation energy: 0.681 eV per atom. As for the spin magnetization: 0.0 Bohr magnetons per cell. Its volume is 82 Å³/cell.


Entry 11:
First-principles (PBE) data for an optimized crystal structure of Nb2AsI, as listed in Alexandria.

Cell lengths 7.484, 7.484, 7.484 Å; angles 131.58, 131.58, 70.90 degrees
Sites, in units of the cell vectors:
Nb (0.089, 0.625, 0.964)
Nb (0.375, 0.339, 0.464)
Nb (0.661, 0.125, 0.036)
Nb (0.875, 0.911, 0.536)
As (0.000, 0.000, 0.000)
As (0.750, 0.250, 0.500)
I (0.250, 0.750, 0.500)
I (0.500, 0.500, 0.000)

Calculated values
Its symmetry is No. 122. For the total energy, the calculation gives -5.9085 eV per atom. As for the uncorrected formation energy: 0.676 eV per atom. As for the spin magnetization: 7.3 Bohr magnetons per cell. Its volume is 230 Å³/cell.


Entry 12:
First-principles (PBE) data for an optimized crystal structure of NbAsI3, as listed in Alexandria.

Cell lengths 5.716, 5.716, 5.716 Å; angles 90.00, 90.00, 90.00 degrees
Sites, in units of the cell vectors:
Nb (0.000, 0.000, 0.000)
As (0.500, 0.500, 0.500)
I (0.000, 0.000, 0.500)
I (0.000, 0.500, 0.000)
I (0.500, 0.000, 0.000)

Calculated values
For the polymorph energy (0 for the lowest one), the calculation gives 0.0 kJ/mol of atoms. Its symmetry is No. 221. For the total energy, the calculation gives -3.4120 eV per atom. As for the uncorrected formation energy: 0.462 eV per atom. As for the spin magnetization: 5.0 Bohr magnetons per cell. Its volume is 187 Å³/cell.